[1]
# Na2Al4AgPd

Crystalline Na2Al4AgPd at its relaxed geometry (PBE, OQMD).

## Properties
The total energy comes out at -27.16 eV per cell.

Cell lengths 7.382, 5.310, 5.310 Å; angles 47.53, 90.00, 90.00 degrees
Fractional positions:
Na1 0.000 0.000 0.000
Na2 0.500 0.132 0.132
Al1 0.185 0.713 0.713
Al2 0.298 0.417 0.417
Al3 0.702 0.417 0.417
Al4 0.815 0.713 0.713
Ag1 0.500 0.846 0.846
Pd1 0.000 0.283 0.283

---

[2]
# Hf2AgPd2

Crystalline Hf2AgPd2 at its relaxed geometry (PBE, OQMD).

## Properties
The energy above the lowest structure with this stoichiometry comes out at 0.000 eV/atom. The total magnetization is 0.00 μB/cell. The calculation puts the formation energy at -0.89 eV/f.u. The total energy comes out at -33.98 eV per cell.

Cell lengths 6.078, 6.078, 6.078 Å; angles 136.48, 136.48, 63.24 degrees
Fractional positions:
Hf1 0.250 0.750 0.500
Hf2 0.750 0.250 0.500
Ag1 0.000 0.000 0.000
Pd1 0.380 0.380 0.000
Pd2 0.620 0.620 0.000

---

[3]
# ErNbAsO

Crystalline ErNbAsO at its relaxed geometry (PBE, OQMD).

## Properties
The energy above the lowest structure with this stoichiometry comes out at 0.000 eV/atom. The total magnetization is 0.05 μB/cell. The total energy comes out at -63.80 eV per cell.

Cell lengths 3.940, 3.940, 8.945 Å; angles 90.00, 90.00, 90.00 degrees
Fractional positions:
Er1 0.250 0.250 0.119
Er2 0.750 0.750 0.881
Nb1 0.250 0.750 0.500
Nb2 0.750 0.250 0.500
As1 0.250 0.250 0.702
As2 0.750 0.750 0.298
O1 0.250 0.750 0.000
O2 0.750 0.250 0.000

---

[4]
# ThUIn

Crystalline ThUIn at its relaxed geometry (PBE, OQMD).

## Properties
The energy above the lowest structure with this stoichiometry comes out at 0.000 eV/atom. The total magnetization is 3.08 μB/cell. The total energy comes out at -19.21 eV per cell.

Cell lengths 5.143, 5.143, 5.143 Å; angles 60.00, 60.00, 60.00 degrees
Fractional positions:
Th1 0.000 0.000 0.000
U1 0.500 0.500 0.500
In1 0.250 0.250 0.250